# NaTl2Sb

A relaxed structure of NaTl2Sb (PBE-GGA, the Alexandria database).

Output
ΔE_f (raw) in eV/atom: -0.15
Density of states at the Fermi level in states/eV/cell: 0.014
Offset from the most stable computed form in meV/atom: 0

Unit cell a=5.5234 b=5.5234 c=5.5234 alpha=60.00 beta=60.00 gamma=60.00
Fractional positions:
Na1 0.0000 0.0000 0.0000
Tl1 0.2500 0.2500 0.2500
Tl2 0.7500 0.7500 0.7500
Sb1 0.5000 0.5000 0.5000

***

# RbReO3

A relaxed structure of RbReO3 (PBE-GGA, the Alexandria database).

Output
ΔE_f (raw) in eV/atom: -1.56
Density of states at the Fermi level in states/eV/cell: 1.760

Unit cell a=3.9527 b=3.9527 c=3.9527 alpha=90.00 beta=90.00 gamma=90.00
Fractional positions:
O1 0.0000 0.0000 0.5000
O2 0.5000 0.0000 0.0000
O3 0.0000 0.5000 0.0000
Rb1 0.5000 0.5000 0.5000
Re1 0.0000 0.0000 0.0000